A relaxed structure of Tb2PmHo6Sc3. Source: Alexandria via LeMat-Bulk, functional PBE.

Computed properties:
Spin magnetization, μB per cell: 0.00
Crystal system: monoclinic
Electronic total energy, eV per atom: -4.9955
Volume, Å³/atom: 29.73
Formation energy from the elements, eV/atom: 0.044

a b c (Å): 6.0403 6.0403 11.4647
angles (deg): 95.03 95.03 119.96
Last column: nearest neighbours and their distance in Å.
Fractional positions:
1 Tb 0.1665 0.8335 0.0000  3 Tb 3.48-3.49, 3 Pm 3.49, 6 Ho 3.56
2 Tb 0.8335 0.1665 0.0000  3 Tb 3.48-3.49, 3 Pm 3.49, 6 Ho 3.56
3 Pm 0.5000 0.5000 0.0000  6 Tb 3.49, 6 Ho 3.56
4 Ho 0.0792 0.4127 0.7399  3 Sc 3.37-3.38, 6 Ho 3.49, 2 Tb 3.56, 1 Pm 3.56
5 Ho 0.2537 0.2537 0.2603  3 Sc 3.37, 6 Ho 3.49, 1 Pm 3.56, 2 Tb 3.56
6 Ho 0.4127 0.0792 0.7399  3 Sc 3.37-3.38, 6 Ho 3.49, 2 Tb 3.56, 1 Pm 3.56
7 Ho 0.5873 0.9208 0.2601  3 Sc 3.37-3.38, 6 Ho 3.49, 2 Tb 3.56, 1 Pm 3.56
8 Ho 0.7463 0.7463 0.7397  3 Sc 3.37, 6 Ho 3.49, 1 Pm 3.56, 2 Tb 3.56
9 Ho 0.9208 0.5873 0.2601  3 Sc 3.37-3.38, 6 Ho 3.49, 2 Tb 3.56, 1 Pm 3.56
10 Sc 0.0000 0.0000 0.5000  6 Ho 3.37, 6 Sc 3.48-3.49
11 Sc 0.3330 0.6670 0.5000  6 Ho 3.37-3.38, 6 Sc 3.48-3.49
12 Sc 0.6670 0.3330 0.5000  6 Ho 3.37-3.38, 6 Sc 3.48-3.49